No. 1
Entry from Alexandria: a geometry-optimized BiTe2OsI structure (PBE-GGA).

Computed properties:
- E_form (uncorrected): 1.676 eV per atom
- E above lowest polymorph: 1071 meV/atom

Unit cell a=5.961 b=5.961 c=5.998 alpha=90.00 beta=90.00 gamma=90.00
Each line ends with the local moment (μB).
Element x y z (fractional)
Te  0.500  0.000  0.000  0.23
Te  0.000  0.500  0.000  0.23
Os  0.500  0.500  0.500  3.63
I  0.000  0.000  0.500  0.08
Bi  0.000  0.000  0.000  0.03


No. 2
Entry from Alexandria: a geometry-optimized Ho4Ge6Rh7 structure (PBE-GGA).

Computed properties:
- ΔH_f (0 K): -0.956 eV per atom

Unit cell a=7.257 b=7.257 c=7.257 alpha=109.47 beta=109.47 gamma=109.47
Element x y z (fractional)
Rh  0.750  0.250  0.500
Rh  0.250  0.500  0.750
Rh  0.250  0.750  0.500
Rh  0.750  0.500  0.250
Rh  0.500  0.250  0.750
Rh  0.000  0.000  0.000
Rh  0.500  0.750  0.250
Ho  0.500  0.500  0.500
Ho  0.500  0.000  0.000
Ho  0.000  0.000  0.500
Ho  0.000  0.500  0.000
Ge  0.680  0.000  0.680
Ge  0.680  0.680  0.000
Ge  0.320  0.000  0.320
Ge  0.320  0.320  0.000
Ge  0.000  0.320  0.320
Ge  0.000  0.680  0.680


No. 3
Entry from Alexandria: a geometry-optimized KRe2Te structure (PBE-GGA).

Computed properties:
- E_form (uncorrected): 1.453 eV per atom

Unit cell a=3.747 b=3.747 c=7.233 alpha=90.00 beta=90.00 gamma=90.00
Element x y z (fractional)
Te  0.500  0.500  0.250
Re  0.000  0.000  0.405
Re  0.000  0.000  0.095
K  0.500  0.500  0.750


No. 4
Entry from Alexandria: a geometry-optimized LaPmMgNi structure (PBE-GGA).

Computed properties:
- ΔH_f (0 K): -0.039 eV per atom

Unit cell a=5.253 b=5.253 c=5.253 alpha=60.00 beta=60.00 gamma=60.00
Element x y z (fractional)
Pm  0.750  0.750  0.750
Mg  0.500  0.500  0.500
Ni  0.000  0.000  0.000
La  0.250  0.250  0.250


No. 5
Entry from Alexandria: a geometry-optimized MgRuIO2 structure (PBE-GGA).

Computed properties:
- E_form (uncorrected): 0.038 eV per atom
- E above lowest polymorph: 429 meV/atom

Unit cell a=3.939 b=3.939 c=5.962 alpha=90.00 beta=90.00 gamma=90.00
Each line ends with the local moment (μB).
Element x y z (fractional)
I  0.000  0.000  0.500  0.10
Mg  0.000  0.000  0.000  -0.01
Ru  0.500  0.500  0.500  2.29
O  0.000  0.500  0.000  0.72
O  0.500  0.000  0.000  0.72


No. 6
Entry from Alexandria: a geometry-optimized SmCd5Pt2 structure (PBE-GGA).

Computed properties:
- ΔH_f (0 K): -0.428 eV per atom

Unit cell a=4.068 b=6.951 c=6.951 alpha=76.60 beta=72.99 gamma=72.99
Element x y z (fractional)
Sm  0.000  0.000  0.000
Cd  0.652  0.535  0.160
Cd  0.000  0.500  0.500
Cd  0.652  0.160  0.535
Cd  0.348  0.465  0.840
Cd  0.348  0.840  0.465
Pt  0.283  0.217  0.217
Pt  0.717  0.783  0.783


No. 7
Entry from Alexandria: a geometry-optimized Pm4Dy2Al structure (PBE-GGA).

Computed properties:
- ΔH_f (0 K): -0.019 eV per atom

Unit cell a=3.654 b=3.654 c=19.463 alpha=84.61 beta=84.61 gamma=60.00
Element x y z (fractional)
Dy  0.809  0.809  0.573
Dy  0.191  0.191  0.427
Al  0.000  0.000  0.000
Pm  0.294  0.294  0.119
Pm  0.907  0.907  0.279
Pm  0.093  0.093  0.721
Pm  0.706  0.706  0.881


No. 8
Entry from Alexandria: a geometry-optimized LiPS2I structure (PBE-GGA).

Computed properties:
- E_form (uncorrected): 0.629 eV per atom
- E above lowest polymorph: 6 meV/atom

Unit cell a=4.187 b=7.596 c=4.187 alpha=90.00 beta=90.00 gamma=90.00
Each line ends with the local moment (μB).
Element x y z (fractional)
S  0.000  0.000  0.500  -0.06
S  0.500  0.000  0.000  -0.04
I  0.000  0.500  0.000  0.04
P  0.500  0.500  0.500  0.51
Li  0.000  0.000  0.000  0.00


Computed values of D(E_F) (unit: states/eV/f.u.) for the preceding records, in sequence: 7.6; 9.5; 2.4; 4.0; 6.2; 3.7; 10.0; 3.9.